# 1
HoCdIn2: optimized geometry, PBE.

Cell: 4.7813 4.7813 15.5422 Å, 90.00 90.00 120.00°
With the nearest neighbours (Å) after each atom.
Space group R-3m (No. 166, hexagonal axes)
Inequivalent atoms, fractional coordinates:
Ho (0.0000, 0.0000, 0.0000) (multiplicity 3)  6 In 3.16
Cd (0.0000, 0.0000, 0.5000) (multiplicity 3)  6 In 2.95
In (0.0000, 0.0000, 0.2340) (multiplicity 6)  3 Cd 2.95, 3 Ho 3.16

Properties
- Formation energy: -0.19 eV/atom

# 2
TlHg2H: optimized geometry, PBE.

Cell: 7.2933 7.2933 7.2933 Å, 90.00 90.00 90.00°
With the nearest neighbours (Å) after each atom.
Space group Fm-3m (No. 225)
Inequivalent atoms, fractional coordinates:
Tl (0.0000, 0.0000, 0.0000) (multiplicity 4)  8 Hg 3.16
Hg (0.2500, 0.2500, 0.2500) (multiplicity 8)  4 H 3.16, 4 Tl 3.16
H (0.0000, 0.0000, 0.5000) (multiplicity 4)  8 Hg 3.16

Properties
- Energy above the lowest structure with this stoichiometry: 1.12 eV/f.u.

# 3
SbH2: optimized geometry, PBE.

Cell: 5.6655 7.1659 3.1688 Å, 90.00 123.56 90.00°
With the nearest neighbours (Å) after each atom.
Space group Cm (No. 8)
Inequivalent atoms, fractional coordinates:
Sb (0.0000, 0.0000, 0.0000) (multiplicity 2)  2 H 1.75
H (0.2627, 0.1716, 0.2598) (multiplicity 4)  1 Sb 1.75

Properties
- Energy above the lowest structure with this stoichiometry: 0.73 eV/f.u.

# 4
Lu2AsC: optimized geometry, PBE.

Cell: 3.5648 3.5648 20.4188 Å, 90.00 90.00 120.00°
With the nearest neighbours (Å) after each atom.
Space group R-3m (No. 166, hexagonal axes)
Inequivalent atoms, fractional coordinates:
Lu (0.0000, 0.0000, 0.2308) (multiplicity 6)  3 C 2.44
As (0.0000, 0.0000, 0.0000) (multiplicity 3)  6 Lu 2.94
C (0.0000, 0.0000, 0.5000) (multiplicity 3)  6 Lu 2.44

Properties
- Formation energy: -0.79 eV/atom

# 5
Cd3POs: optimized geometry, PBE.

Cell: 4.9031 4.9031 4.9031 Å, 90.00 90.00 90.00°
With the nearest neighbours (Å) after each atom.
Space group Pm-3m (No. 221)
Inequivalent atoms, fractional coordinates:
Cd (0.0000, 0.0000, 0.5000) (multiplicity 3)  2 P 2.45
P (0.0000, 0.0000, 0.0000) (multiplicity 1)  6 Cd 2.45
Os (0.5000, 0.5000, 0.5000) (multiplicity 1)  12 Cd 3.47

Properties
- Energy above the lowest structure with this stoichiometry: 0.26 eV/f.u.
- Formation energy: 1.30 eV/atom

# 6
AcThSbTe: optimized geometry, PBE.

Cell: 7.9214 7.9214 7.9214 Å, 90.00 90.00 90.00°
With the nearest neighbours (Å) after each atom.
Space group F-43m (No. 216)
Inequivalent atoms, fractional coordinates:
Ac (0.0000, 0.0000, 0.0000) (multiplicity 4)  4 Sb 3.43, 4 Te 3.43
Th (0.0000, 0.0000, 0.5000) (multiplicity 4)  4 Te 3.43, 4 Sb 3.43
Sb (0.2500, 0.2500, 0.7500) (multiplicity 4)  4 Ac 3.43, 4 Th 3.43
Te (0.2500, 0.2500, 0.2500) (multiplicity 4)  4 Ac 3.43, 4 Th 3.43

Properties
- Formation energy from raw total energies: -1.03 eV per atom
- Energy above the lowest structure with this stoichiometry: 0.00 eV/f.u.